Record 1
Entry from Alexandria via LeMat-Bulk: crystalline Rb4PbCl5 at its relaxed geometry (PBE).

Total DFT energy (no corrections) in eV per atom: -3.26
Crystal system: tetragonal

abc: 10.3232 10.3232 6.9226
angles: 90.00 90.00 90.00
With the nearest neighbours (Å) after each atom.
Space group I4 (No. 79)
Inequivalent atoms, fractional coordinates:
Rb 0.0959 0.7063 0.0000 x8  6 Cl 3.19-3.47
Pb 0.0000 0.0000 0.4984 x2  5 Cl 3.08-3.45
Cl 0.0000 0.0000 0.9967 x2  4 Rb 3.19, 2 Pb 3.45-3.47
Cl 0.0911 0.7156 0.4995 x8  1 Pb 3.08, 3 Rb 3.31-3.43

***

Record 2
Entry from Alexandria via LeMat-Bulk: crystalline Sr2AcO4 at its relaxed geometry (PBE).

Total DFT energy (no corrections) in eV per atom: -6.58
Crystal system: orthorhombic

abc: 6.3341 10.5351 3.8422
angles: 90.00 90.00 90.00
With the nearest neighbours (Å) after each atom.
Space group Pbam (No. 55)
Inequivalent atoms, fractional coordinates:
Sr 0.0578 0.1751 0.0000 x4  6 O 2.45-2.66
Ac 0.0000 0.5000 0.5000 x2  6 O 2.42-2.50
O 0.1584 0.7086 0.5000 x4  1 Ac 2.42, 4 Sr 2.65-2.66
O 0.2451 0.4615 0.0000 x4  2 Sr 2.45-2.57, 2 Ac 2.50

***

Record 3
Entry from Alexandria via LeMat-Bulk: crystalline NiW3I at its relaxed geometry (PBE).

Crystal system: cubic
Excess energy over the best structure of this formula in the dataset in eV per formula unit: 5.747

abc: 4.8304 4.8304 4.8304
angles: 90.00 90.00 90.00
With the nearest neighbours (Å) after each atom.
Space group Pm-3m (No. 221)
Inequivalent atoms, fractional coordinates:
Ni 0.0000 0.0000 0.0000 x1  12 W 3.42
W 0.0000 0.5000 0.5000 x3  2 I 2.42
I 0.5000 0.5000 0.5000 x1  6 W 2.42

***

no.,Fermi-level density of states (states/eV per cell)
1,4.73
2,6.47
3,8.95